# 1
An optimized crystal structure of Fe4Ni3Ir12. Source: Alexandria via LeMat-Bulk, functional GGA-PBE.

Geometry as POSCAR:
```
Fe4Ni3Ir12
1.0
7.851 0.000 0.000
-2.617 7.402 0.000
-2.617 -3.701 6.411
Ir Fe Ni
12 4 3
Cartesian
4.544 2.338 0.573
-0.468 0.331 4.050
2.149 0.028 4.672
0.690 -2.035 4.672
-1.927 1.363 5.837
1.927 5.737 1.738
4.766 -0.359 4.099
0.468 3.673 1.738
-0.690 3.028 4.099
-2.149 4.060 2.312
3.307 0.673 2.312
3.085 3.370 2.361
1.309 1.851 3.205
3.926 0.000 0.000
-1.309 -1.851 3.205
-1.309 3.701 0.000
2.617 3.701 0.000
-2.617 1.851 3.205
2.617 -1.851 3.205
```

final energy = -0.561 Ry/atom
E_form = 0.656 eV per atom
spin magnetization = 0.395 μB/atom
SG = Im-3, No. 204

# 2
An optimized crystal structure of Tl2CrAs. Source: Alexandria via LeMat-Bulk, functional GGA-PBE.

Geometry as POSCAR:
```
Tl2CrAs
1.0
-0.123 3.612 -1.293
-3.312 0.553 1.860
3.212 1.948 5.139
Cr Tl As
1 2 1
Cartesian
0.692 3.544 4.138
1.595 0.968 2.553
0.011 0.006 0.017
-0.914 2.570 1.569
```

final energy = -0.312 Ry/atom
E_form = 0.506 eV per atom
spin magnetization = 1.073 μB/atom
SG = P4/mmm, No. 123

# 3
An optimized crystal structure of DyMgZrTi. Source: Alexandria via LeMat-Bulk, functional GGA-PBE.

Geometry as POSCAR:
```
DyMgZrTi
1.0
5.080 0.000 0.000
2.540 4.399 0.000
2.540 1.466 4.148
Dy Ti Mg Zr
1 1 1 1
Cartesian
2.540 1.466 1.037
0.000 0.000 0.000
5.080 2.933 2.074
7.620 4.399 3.111
```

final energy = -0.405 Ry/atom
E_form = 0.153 eV per atom
spin magnetization = 0.630 μB/atom
SG = F-43m, No. 216